1.
The following is a DFT calculation (GGA-PBE) of a relaxed W2AuCl crystal.

Lattice parameters (Å, degrees): 2.8866 2.8866 9.2408 90.00 90.00 90.00
Element x y z (fractional)
W 0.0000 0.0000 0.0000
W 0.5000 0.5000 0.2087
Au 0.0000 0.0000 0.4268
Cl 0.5000 0.5000 0.8172

DOS at the Fermi energy, states/eV/cell: 4.29
DFT total energy, eV per cell: -29.51
Mass density, g/cm3: 12.94
E above lowest polymorph, meV/atom: 62
V, Å³/f.u.: 77
ΔE_f (raw), meV/atom: 381

2.
The following is a DFT calculation (GGA-PBE) of a relaxed W2AuCl crystal.

Lattice parameters (Å, degrees): 4.7650 4.7650 4.7650 125.89 125.89 80.06
Element x y z (fractional)
W 0.0000 0.0000 0.0000
W 0.7500 0.2500 0.5000
Au 0.2500 0.7500 0.5000
Cl 0.5000 0.5000 0.0000

DOS at the Fermi energy, states/eV/cell: 5.58
DFT total energy, eV per cell: -26.27
Mass density, g/cm3: 14.54
E above lowest polymorph, meV/atom: 870
V, Å³/f.u.: 69
ΔE_f (raw), meV/atom: 1189

3.
The following is a DFT calculation (GGA-PBE) of a relaxed W2AuCl crystal.

Lattice parameters (Å, degrees): 2.7711 4.7786 5.2787 90.00 90.00 90.00
Element x y z (fractional)
W 0.0000 0.0000 0.0000
W 0.5000 0.0000 0.5000
Au 0.0000 0.5000 0.5000
Cl 0.5000 0.5000 0.0000

DOS at the Fermi energy, states/eV/cell: 3.54
DFT total energy, eV per cell: -27.08
Mass density, g/cm3: 14.26
E above lowest polymorph, meV/atom: 670
V, Å³/f.u.: 70
ΔE_f (raw), meV/atom: 988

4.
The following is a DFT calculation (GGA-PBE) of a relaxed W2AuCl crystal.

Lattice parameters (Å, degrees): 4.4967 4.4967 4.4967 60.00 60.00 60.00
Element x y z (fractional)
W 0.2500 0.2500 0.2500
W 0.7500 0.7500 0.7500
Au 0.0000 0.0000 0.0000
Cl 0.5000 0.5000 0.5000

DOS at the Fermi energy, states/eV/cell: 0.51
DFT total energy, eV per cell: -27.00
Mass density, g/cm3: 15.50
E above lowest polymorph, meV/atom: 690
V, Å³/f.u.: 64
ΔE_f (raw), meV/atom: 1008

5.
The following is a DFT calculation (GGA-PBE) of a relaxed WAu2Cl crystal.

Lattice parameters (Å, degrees): 2.8603 4.6809 5.4096 90.00 90.00 90.00
Element x y z (fractional)
W 0.0000 0.0000 0.0000
Au 0.0000 0.5000 0.5000
Au 0.5000 0.0000 0.5000
Cl 0.5000 0.5000 0.0000

DOS at the Fermi energy, states/eV/cell: 2.82
DFT total energy, eV per cell: -18.27
Mass density, g/cm3: 14.06
E above lowest polymorph, meV/atom: 628
V, Å³/f.u.: 72
ΔE_f (raw), meV/atom: 772

6.
The following is a DFT calculation (GGA-PBE) of a relaxed W3AuCl crystal.

Lattice parameters (Å, degrees): 4.9586 4.9586 4.9586 90.00 90.00 90.00
Element x y z (fractional)
W 0.0000 0.0000 0.5000
W 0.0000 0.5000 0.0000
W 0.5000 0.0000 0.0000
Au 0.0000 0.0000 0.0000
Cl 0.5000 0.5000 0.5000

DOS at the Fermi energy, states/eV/cell: 11.90
DFT total energy, eV per cell: -29.08
Mass density, g/cm3: 10.68
E above lowest polymorph, meV/atom: 1514
V, Å³/f.u.: 122
ΔE_f (raw), meV/atom: 2980